The following is a DFT calculation (GGA-PBE) of an optimized crystal structure of Ca2Cu2As3.

```
data_Ca2Cu2As3
_chemical_formula_sum 'Ca8 Cu8 As12'
_symmetry_space_group_name_H-M 'C m c m'
_symmetry_Int_Tables_number 63
_symmetry_space_group_name_Hall '-C 2c 2'
_cell_length_a 4.204
_cell_length_b 20.755
_cell_length_c 6.513
_cell_angle_alpha 90.00
_cell_angle_beta 90.00
_cell_angle_gamma 90.00
loop_
_atom_site_label
_atom_site_type_symbol
_atom_site_fract_x
_atom_site_fract_y
_atom_site_fract_z
Ca1 Ca 0.000 0.030 0.250
Ca2 Ca 0.000 0.163 0.750
Cu1 Cu 0.000 0.304 0.557
As1 As 0.000 0.226 0.250
As2 As 0.000 0.418 0.054
```

Computed properties:
crystal system = orthorhombic
electronic total energy = -4.3425 eV per atom
ΔE_f = -4.25 eV per formula unit